Entry 1:
Density functional theory data (GGA-PBE) for NaTl3Te2O9 after structural relaxation.

* SG: P-3m1, No. 164
* E: -4.751 eV per atom
* raw formation energy: -0.796 eV/atom
* density of states at the Fermi level: 0.50 states/eV/atom

Cell and atoms, written as POSCAR:
```
NaTl3Te2O9
1.0
-1.947 0.362 5.416
5.142 -2.386 -1.062
3.262 6.706 0.724
Na Tl Te O
1 3 2 9
Direct
0.000 0.000 0.500
0.333 0.667 0.646
0.000 0.000 0.000
0.667 0.333 0.354
0.333 0.667 0.159
0.667 0.333 0.841
0.831 0.169 0.714
0.831 0.661 0.714
0.339 0.169 0.714
0.661 0.831 0.286
0.169 0.339 0.286
0.169 0.831 0.286
0.500 0.000 0.000
0.000 0.500 0.000
0.500 0.500 0.000
```

Entry 2:
Density functional theory data (GGA-PBE) for NaTm2TeO6 after structural relaxation.

* SG: R3, No. 146
* E: -6.723 eV per atom
* raw formation energy: -2.407 eV/atom
* density of states at the Fermi level: 0.22 states/eV/atom

Cell and atoms, written as POSCAR:
```
NaTm2TeO6
1.0
5.715 0.000 0.000
2.858 4.949 0.000
2.857 1.650 5.035
Na Tm Te O
1 2 1 6
Direct
0.796 0.796 0.613
0.527 0.527 0.420
0.016 0.016 0.953
0.322 0.322 0.035
0.601 0.238 0.229
0.238 0.932 0.229
0.932 0.601 0.229
0.382 0.694 0.769
0.694 0.155 0.769
0.155 0.382 0.769
```

Entry 3:
Density functional theory data (GGA-PBE) for NaTm3Te4O12 after structural relaxation.

* SG: R32, No. 155
* E: -6.128 eV per atom
* raw formation energy: -1.788 eV/atom
* density of states at the Fermi level: 0.14 states/eV/atom

Cell and atoms, written as POSCAR:
```
NaTm3Te4O12
1.0
-6.448 -3.362 0.133
3.424 -2.847 -5.750
3.567 -2.663 5.752
Na Tm Te O
1 3 4 12
Direct
0.000 0.000 0.000
0.574 0.426 0.000
0.426 0.000 0.574
0.000 0.574 0.426
0.908 0.092 0.500
0.092 0.500 0.908
0.500 0.908 0.092
0.500 0.500 0.500
0.500 0.322 0.678
0.924 0.500 0.076
0.076 0.924 0.500
0.500 0.076 0.924
0.385 0.055 0.282
0.282 0.385 0.055
0.055 0.282 0.385
0.615 0.718 0.945
0.945 0.615 0.718
0.718 0.945 0.615
0.678 0.500 0.322
0.322 0.678 0.500
```

Entry 4:
Density functional theory data (GGA-PBE) for NaTmTe2O8 after structural relaxation.

* SG: I-4, No. 82
* E: -5.915 eV per atom
* raw formation energy: -1.603 eV/atom
* density of states at the Fermi level: 0.00 states/eV/atom

Cell and atoms, written as POSCAR:
```
NaTmTe2O8
1.0
-3.382 -3.034 -2.598
3.537 -0.694 -3.794
1.933 -2.696 5.904
Na Tm Te O
1 1 2 8
Direct
0.000 0.000 0.000
0.750 0.250 0.500
0.500 0.500 0.000
0.250 0.750 0.500
0.753 0.839 0.179
0.425 0.340 0.179
0.579 0.650 0.664
0.086 0.014 0.664
0.986 0.421 0.336
0.350 0.914 0.336
0.161 0.575 0.821
0.660 0.247 0.821
```

Entry 5:
Density functional theory data (GGA-PBE) for Na2UTeO6 after structural relaxation.

* SG: P4mm, No. 99
* E: -6.742 eV per atom
* raw formation energy: -2.060 eV/atom

Cell and atoms, written as POSCAR:
```
Na2UTeO6
1.0
-3.226 -0.793 2.875
0.308 -5.819 -1.258
4.036 -0.722 4.328
Na U Te O
2 1 1 6
Direct
0.222 0.500 0.000
0.222 0.000 0.500
0.628 0.000 0.000
0.625 0.500 0.500
0.607 0.243 0.243
0.607 0.243 0.757
0.198 0.500 0.500
0.123 0.000 0.000
0.607 0.757 0.757
0.607 0.757 0.243
```

Entry 6:
Density functional theory data (GGA-PBE) for Na2UTe2O10 after structural relaxation.

* SG: C2/m, No. 12
* E: -6.376 eV per atom
* raw formation energy: -1.723 eV/atom
* density of states at the Fermi level: 0.00 states/eV/atom

Cell and atoms, written as POSCAR:
```
Na2UTe2O10
1.0
3.140 -5.781 -1.682
3.657 -3.286 -4.683
7.366 2.740 3.545
Na U Te O
2 1 2 10
Direct
0.219 0.219 0.717
0.781 0.781 0.283
0.500 0.500 0.500
0.068 0.068 0.147
0.932 0.932 0.853
0.360 0.360 0.470
0.081 0.081 0.919
0.450 0.450 0.806
0.640 0.640 0.530
0.205 0.205 0.186
0.007 0.007 0.357
0.919 0.919 0.081
0.795 0.795 0.814
0.993 0.993 0.643
0.550 0.550 0.194
```

Entry 7:
Density functional theory data (GGA-PBE) for NaUTeO2 after structural relaxation.

* SG: I4mm, No. 107
* E: -7.287 eV per atom
* raw formation energy: -2.154 eV/atom
* density of states at the Fermi level: 1.01 states/eV/atom

Cell and atoms, written as POSCAR:
```
NaUTeO2
1.0
3.863 0.000 0.000
0.000 3.863 0.000
-1.932 -1.932 6.469
Na U Te O
1 1 1 2
Direct
0.151 0.151 0.302
0.834 0.834 0.668
0.486 0.486 0.971
0.764 0.264 0.529
0.264 0.764 0.529
```

Entry 8:
Density functional theory data (GGA-PBE) for Na2UTeO8 after structural relaxation.

* SG: P2/m, No. 10
* E: -6.381 eV per atom
* raw formation energy: -1.654 eV/atom
* density of states at the Fermi level: 0.06 states/eV/atom

Cell and atoms, written as POSCAR:
```
Na2UTeO8
1.0
-4.944 -1.335 -0.735
-0.223 -1.031 5.075
-1.890 6.340 1.204
Na U Te O
2 1 1 8
Direct
0.500 0.500 0.761
0.500 0.500 0.239
0.000 0.000 0.500
0.000 0.000 0.000
0.174 0.825 0.219
0.736 0.737 0.000
0.826 0.175 0.219
0.826 0.175 0.781
0.264 0.263 0.000
0.174 0.825 0.781
0.740 0.741 0.500
0.260 0.259 0.500
```